A plane-wave DFT calculation with PBE was carried out for a relaxed structure of AcThAl2Ge2.

Geometry as POSCAR:
```
AcThAl2Ge2
1.0
4.329 0.000 0.000
-2.164 3.749 0.000
0.000 0.000 8.938
Ac Th Al Ge
1 1 2 2
Direct
0.000 0.000 0.000 Ac
0.000 0.000 0.500 Th
0.333 0.667 0.733 Al
0.667 0.333 0.267 Al
0.333 0.667 0.259 Ge
0.667 0.333 0.741 Ge
```

Calculated values
Energy relative to the elements, kcal/mol of atoms: -13.11
Calculated volume, Å³ per cell: 145
SG: P-3m1, No. 164

---

A plane-wave DFT calculation with PBE was carried out for a relaxed structure of Tl4PbSe.

Geometry as POSCAR:
```
Tl4PbSe
1.0
0.000 4.542 4.542
4.542 0.000 4.542
4.542 4.542 0.000
Tl Pb Se
4 1 1
Direct
0.125 0.125 0.125 Tl
0.125 0.125 0.624 Tl
0.125 0.624 0.125 Tl
0.624 0.125 0.125 Tl
0.750 0.750 0.750 Pb
0.500 0.500 0.500 Se
```

Calculated values
Raw formation energy, eV per atom: 0.111
Calculated volume, Å³ per cell: 187
SG: F-43m, No. 216

---

A plane-wave DFT calculation with PBE was carried out for a relaxed structure of Li3Pd2AuO6.

Geometry as POSCAR:
```
Li3Pd2AuO6
1.0
2.674 -4.995 0.000
2.674 4.995 0.000
-1.471 0.000 4.877
Li Pd Au O
3 2 1 6
Direct
0.000 0.000 0.000 Li
0.327 0.673 0.000 Li
0.673 0.327 0.000 Li
0.170 0.830 0.500 Pd
0.830 0.170 0.500 Pd
0.500 0.500 0.500 Au
0.048 0.429 0.253 O
0.215 0.215 0.721 O
0.429 0.048 0.253 O
0.571 0.952 0.747 O
0.785 0.785 0.279 O
0.952 0.571 0.747 O
```

Calculated values
Raw formation energy, eV per atom: -0.782
Calculated volume, Å³ per cell: 130
SG: C2/m, No. 12

---

A plane-wave DFT calculation with PBE was carried out for a relaxed structure of AgTe2OsN.

Geometry as POSCAR:
```
AgTe2OsN
1.0
5.519 0.000 0.000
0.000 5.519 0.000
0.000 0.000 3.658
Ag Te Os N
1 2 1 1
Direct
0.000 0.000 0.000 Ag
0.000 0.500 0.500 Te
0.500 0.000 0.500 Te
0.500 0.500 0.500 Os
0.500 0.500 0.000 N
```

Calculated values
Raw formation energy, eV per atom: 0.391
Calculated volume, Å³ per cell: 111
Offset from the most stable computed form, eV/atom: 0.000
SG: P4/mmm, No. 123

---

A plane-wave DFT calculation with PBE was carried out for a relaxed structure of Tb2CeNi.

Geometry as POSCAR:
```
Tb2CeNi
1.0
1.866 1.077 9.206
-1.866 1.077 9.206
0.000 -2.154 9.206
Tb Ce Ni
2 1 1
Direct
0.000 0.000 0.000 Tb
0.214 0.214 0.214 Tb
0.772 0.772 0.772 Ce
0.608 0.608 0.608 Ni
```

Calculated values
Energy relative to the elements, kcal/mol of atoms: -0.51
Calculated volume, Å³ per cell: 111
Offset from the most stable computed form, eV/atom: 0.157
SG: R3m, No. 160

---

A plane-wave DFT calculation with PBE was carried out for a relaxed structure of Fe2NiSe.

Geometry as POSCAR:
```
Fe2NiSe
1.0
1.443 0.833 7.471
-1.443 0.833 7.471
0.000 -1.667 7.471
Fe Ni Se
2 1 1
Direct
0.000 0.000 0.000 Fe
0.252 0.252 0.252 Fe
0.503 0.503 0.503 Ni
0.748 0.748 0.748 Se
```

Calculated values
Raw formation energy, eV per atom: 0.233
Calculated volume, Å³ per cell: 54
SG: R3m, No. 160

---

A plane-wave DFT calculation with PBE was carried out for a relaxed structure of Er3GaCo3.

Geometry as POSCAR:
```
Er3GaCo3
1.0
2.016 -4.964 0.000
2.016 4.964 0.000
0.000 0.000 12.779
Er Ga Co
6 2 6
Direct
0.007 0.993 0.750 Er
0.294 0.706 0.604 Er
0.294 0.706 0.896 Er
0.706 0.294 0.104 Er
0.706 0.294 0.396 Er
0.993 0.007 0.250 Er
0.000 0.000 0.000 Ga
0.000 0.000 0.500 Ga
0.291 0.709 0.250 Co
0.416 0.584 0.095 Co
0.416 0.584 0.405 Co
0.584 0.416 0.595 Co
0.584 0.416 0.905 Co
0.709 0.291 0.750 Co
```

Calculated values
Energy relative to the elements, kcal/mol of atoms: -8.92
Calculated volume, Å³ per cell: 256
SG: Cmcm, No. 63

---

A plane-wave DFT calculation with PBE was carried out for a relaxed structure of Li5Ge3Rh.

Geometry as POSCAR:
```
Li5Ge3Rh
1.0
6.647 -4.789 0.000
6.647 4.789 0.000
-3.133 0.000 5.740
Li Ge Rh
10 6 2
Direct
0.042 0.042 0.329 Li
0.081 0.543 0.255 Li
0.223 0.777 0.000 Li
0.300 0.300 0.584 Li
0.457 0.919 0.745 Li
0.543 0.081 0.255 Li
0.700 0.700 0.416 Li
0.777 0.223 0.000 Li
0.919 0.457 0.745 Li
0.958 0.958 0.671 Li
0.164 0.164 0.127 Ge
0.166 0.166 0.760 Ge
0.500 0.500 0.000 Ge
0.500 0.500 0.500 Ge
0.834 0.834 0.240 Ge
0.836 0.836 0.873 Ge
0.360 0.360 0.111 Rh
0.640 0.640 0.889 Rh
```

Calculated values
Energy relative to the elements, kcal/mol of atoms: -4.70
Calculated volume, Å³ per cell: 365
SG: C2/m, No. 12

---

A plane-wave DFT calculation with PBE was carried out for a relaxed structure of BeSbAs.

Geometry as POSCAR:
```
BeSbAs
1.0
0.000 3.253 3.253
3.253 0.000 3.253
3.253 3.253 0.000
Be Sb As
1 1 1
Direct
0.000 0.000 0.000 Be
0.750 0.750 0.750 Sb
0.500 0.500 0.500 As
```

Calculated values
Raw formation energy, eV per atom: 0.759
Calculated volume, Å³ per cell: 69
Offset from the most stable computed form, eV/atom: 0.677
SG: F-43m, No. 216

---

A plane-wave DFT calculation with PBE was carried out for a relaxed structure of YPtS2Cl.

Geometry as POSCAR:
```
YPtS2Cl
1.0
5.282 0.000 0.000
0.000 5.282 0.000
0.000 0.000 5.041
Y Pt S Cl
1 1 2 1
Direct
0.000 0.000 0.000 Y
0.500 0.500 0.500 Pt
0.000 0.500 0.000 S
0.500 0.000 0.000 S
0.000 0.000 0.500 Cl
```

Calculated values
Raw formation energy, eV per atom: -0.045
Calculated volume, Å³ per cell: 141
Offset from the most stable computed form, eV/atom: 0.538
SG: P4/mmm, No. 123

---

A plane-wave DFT calculation with PBE was carried out for a relaxed structure of Ba2AgBi2.

Geometry as POSCAR:
```
Ba2AgBi2
1.0
8.409 0.000 0.000
0.000 8.409 0.000
0.000 0.000 5.284
Ba Ag Bi
4 2 4
Direct
0.175 0.325 0.000 Ba
0.325 0.825 0.000 Ba
0.675 0.175 0.000 Ba
0.825 0.675 0.000 Ba
0.000 0.000 0.500 Ag
0.500 0.500 0.500 Ag
0.133 0.633 0.500 Bi
0.367 0.133 0.500 Bi
0.633 0.867 0.500 Bi
0.867 0.367 0.500 Bi
```

Calculated values
Energy relative to the elements, kcal/mol of atoms: -12.88
Calculated volume, Å³ per cell: 374
Offset from the most stable computed form, eV/atom: 0.128
SG: P4/mbm, No. 127

---

A plane-wave DFT calculation with PBE was carried out for a relaxed structure of EuYZnHg.

Geometry as POSCAR:
```
EuYZnHg
1.0
0.000 3.736 3.736
3.736 0.000 3.736
3.736 3.736 0.000
Eu Y Zn Hg
1 1 1 1
Direct
0.000 0.000 0.000 Eu
0.500 0.500 0.500 Y
0.750 0.750 0.750 Zn
0.250 0.250 0.250 Hg
```

Calculated values
Energy relative to the elements, kcal/mol of atoms: -8.77
Calculated volume, Å³ per cell: 104
SG: F-43m, No. 216

---

DOS(E_F) (states/eV/cell)
3.38; 4.76; 5.34; 2.78; 8.46; 2.51; 14.12; 4.15; 0.98; 5.95; 6.69; 6.27